1:
Below is a geometry-optimized KTa2Pt structure, with properties calculated at the PBEsol level.

a = 2.8639 Å, b = 3.9834 Å, c = 8.3363 Å
α = 90.00°, β = 91.11°, γ = 90.00°
Last column: nearest neighbours and their distance in Å.
Space group P2/m (No. 10)
Asymmetric unit:
K (0.0000, 0.0000, 0.0000) [1 per cell]  2 K 2.86
Ta (0.4711, 0.5000, 0.6521) [2 per cell]  1 Ta 2.54, 4 Pt 2.71-2.82
Pt (0.0000, 0.0000, 0.5000) [1 per cell]  8 Ta 2.71-2.82, 2 Pt 2.86

---

2:
Below is a geometry-optimized KTa2Pt structure, with properties calculated at the PBEsol level.

a = 2.7931 Å, b = 2.7931 Å, c = 10.6062 Å
α = 90.00°, β = 90.00°, γ = 90.00°
Last column: nearest neighbours and their distance in Å.
Space group P4/mmm (No. 123)
Asymmetric unit:
K (0.0000, 0.0000, 0.0000) [1 per cell]  4 K 2.79
Ta (0.5000, 0.5000, 0.3101) [2 per cell]  4 Ta 2.79, 4 Pt 2.82
Pt (0.0000, 0.0000, 0.5000) [1 per cell]  4 Pt 2.79, 8 Ta 2.82

---

The most stable of them is 2.

---

1:
Below is a geometry-optimized KTc2Pt structure, with properties calculated at the PBEsol level.

a = 2.6819 Å, b = 3.7730 Å, c = 7.8100 Å
α = 90.00°, β = 90.00°, γ = 90.00°
Last column: nearest neighbours and their distance in Å.
Space group Pmm2 (No. 25)
Asymmetric unit:
K (0.0000, 0.0000, 0.0000) [1 per cell]  2 K 2.68
Tc (0.0000, 0.0000, 0.4947) [1 per cell]  6 Tc 2.59-2.68, 4 Pt 2.73
Tc (0.5000, 0.5000, 0.6425) [1 per cell]  6 Tc 2.59-2.68, 1 Pt 2.60
Pt (0.5000, 0.5000, 0.3100) [1 per cell]  5 Tc 2.60-2.73, 2 Pt 2.68

---

2:
Below is a geometry-optimized KTc2Pt structure, with properties calculated at the PBEsol level.

a = 2.7010 Å, b = 4.3968 Å, c = 7.0559 Å
α = 90.00°, β = 90.00°, γ = 90.00°
Last column: nearest neighbours and their distance in Å.
Space group Pmmm (No. 47)
Asymmetric unit:
K (0.0000, 0.0000, 0.0000) [1 per cell]  2 K 2.70
Tc (0.5000, 0.5000, 0.3506) [2 per cell]  1 Tc 2.11
Pt (0.0000, 0.0000, 0.5000) [1 per cell]  2 Pt 2.70, 8 Tc 2.79

---

3:
Below is a geometry-optimized KTc2Pt structure, with properties calculated at the PBEsol level.

a = 2.8680 Å, b = 4.6159 Å, c = 10.1366 Å
α = 90.00°, β = 90.00°, γ = 90.00°
Last column: nearest neighbours and their distance in Å.
Space group Cmm2 (No. 35)
Asymmetric unit:
K (0.0000, 0.0000, 0.0000) [2 per cell]  6 K 2.72-2.87
Tc (0.0000, 0.0000, 0.4983) [2 per cell]  6 Tc 2.52-2.72, 2 Pt 2.76
Tc (0.0000, 0.5000, 0.2938) [2 per cell]  6 Tc 2.52-2.72
Pt (0.0000, 0.5000, 0.7313) [2 per cell]  6 Pt 2.72-2.87, 2 Tc 2.76

---

The most stable of them is 1.

---

1:
Below is a geometry-optimized KTcPt structure, with properties calculated at the PBEsol level.

a = 2.7912 Å, b = 2.7912 Å, c = 7.9802 Å
α = 90.00°, β = 90.00°, γ = 120.00°
Last column: nearest neighbours and their distance in Å.
Space group P3m1 (No. 156)
Asymmetric unit:
K (0.0000, 0.0000, 0.0000) [1 per cell]  6 K 2.79
Tc (0.6667, 0.3333, 0.3778) [1 per cell]  3 Pt 2.67, 6 Tc 2.79
Pt (0.3333, 0.6667, 0.6452) [1 per cell]  3 Tc 2.67, 6 Pt 2.79

---

2:
Below is a geometry-optimized KTcPt structure, with properties calculated at the PBEsol level.

a = 4.8751 Å, b = 4.8751 Å, c = 2.6162 Å
α = 90.00°, β = 90.00°, γ = 120.00°
Last column: nearest neighbours and their distance in Å.
Space group P-6m2 (No. 187)
Asymmetric unit:
K (0.0000, 0.0000, 0.0000) [1 per cell]  2 K 2.62
Tc (0.6667, 0.3333, 0.5000) [1 per cell]  2 Tc 2.62, 3 Pt 2.81
Pt (0.3333, 0.6667, 0.5000) [1 per cell]  2 Pt 2.62, 3 Tc 2.81

---

The most stable of them is 1.

---

1:
Below is a geometry-optimized K2YPt structure, with properties calculated at the PBEsol level.

a = 5.7415 Å, b = 11.7751 Å, c = 3.4249 Å
α = 90.00°, β = 90.00°, γ = 90.00°
Last column: nearest neighbours and their distance in Å.
Space group Cmmm (No. 65)
Asymmetric unit:
K (0.2500, 0.2500, 0.0000) [4 per cell]  2 K 2.87
Y (0.0000, 0.0000, 0.5000) [2 per cell]  2 Pt 2.87
Pt (0.0000, 0.5000, 0.5000) [2 per cell]  2 Y 2.87

---

2:
Below is a geometry-optimized K2YPt structure, with properties calculated at the PBEsol level.

a = 3.3137 Å, b = 3.3137 Å, c = 36.6818 Å
α = 90.00°, β = 90.00°, γ = 120.00°
Last column: nearest neighbours and their distance in Å.
Space group R-3m (No. 166, hexagonal axes)
Asymmetric unit:
K (0.0000, 0.0000, 0.2337) [6 per cell]  3 Pt 3.11, 6 K 3.31
Y (0.0000, 0.0000, 0.0000) [3 per cell]  6 Y 3.31
Pt (0.0000, 0.0000, 0.5000) [3 per cell]  6 K 3.11, 6 Pt 3.31

---

The most stable of them is 1.

---

1:
Below is a geometry-optimized KZrPt structure, with properties calculated at the PBEsol level.

a = 3.7782 Å, b = 3.7782 Å, c = 7.4575 Å
α = 90.00°, β = 90.00°, γ = 120.00°
Last column: nearest neighbours and their distance in Å.
Space group P3m1 (No. 156)
Asymmetric unit:
K (0.0000, 0.0000, 0.0000) [1 per cell]  3 Pt 3.33
Zr (0.6667, 0.3333, 0.4881) [1 per cell]  3 Pt 2.54
Pt (0.3333, 0.6667, 0.6623) [1 per cell]  3 Zr 2.54

---

2:
Below is a geometry-optimized KZrPt structure, with properties calculated at the PBEsol level.

a = 6.6645 Å, b = 6.6645 Å, c = 6.6645 Å
α = 90.00°, β = 90.00°, γ = 90.00°
Last column: nearest neighbours and their distance in Å.
Space group F-43m (No. 216)
Asymmetric unit:
K (0.0000, 0.0000, 0.0000) [4 per cell]  4 Pt 2.89
Zr (0.0000, 0.0000, 0.5000) [4 per cell]  4 Pt 2.89
Pt (0.2500, 0.2500, 0.7500) [4 per cell]  4 K 2.89, 4 Zr 2.89

---

The most stable of them is 1.

---

1:
Below is a geometry-optimized KZr2Pt structure, with properties calculated at the PBEsol level.

a = 3.4383 Å, b = 3.4383 Å, c = 9.2409 Å
α = 90.00°, β = 90.00°, γ = 90.00°
Last column: nearest neighbours and their distance in Å.
Space group P4/mmm (No. 123)
Asymmetric unit:
K (0.0000, 0.0000, 0.0000) [1 per cell]  4 K 3.44
Zr (0.5000, 0.5000, 0.3498) [2 per cell]  1 Zr 2.78, 4 Pt 2.80
Pt (0.0000, 0.0000, 0.5000) [1 per cell]  8 Zr 2.80

---

2:
Below is a geometry-optimized KZr2Pt structure, with properties calculated at the PBEsol level.

a = 3.6535 Å, b = 3.6535 Å, c = 30.4417 Å
α = 90.00°, β = 90.00°, γ = 120.00°
Last column: nearest neighbours and their distance in Å.
Space group R-3m (No. 166, hexagonal axes)
Asymmetric unit:
K (0.0000, 0.0000, 0.0000) [3 per cell]  6 K 3.65, 6 Zr 4.08
Zr (0.0000, 0.0000, 0.2187) [6 per cell]  3 Pt 2.64
Pt (0.0000, 0.0000, 0.5000) [3 per cell]  6 Zr 2.64

---

The most stable of them is 1.

---

1:
Below is a geometry-optimized K3Re structure, with properties calculated at the PBEsol level.

a = 5.4098 Å, b = 5.4098 Å, c = 5.3956 Å
α = 90.00°, β = 90.00°, γ = 90.00°
Last column: nearest neighbours and their distance in Å.
Space group P4/mmm (No. 123)
Asymmetric unit:
K (0.0000, 0.0000, 0.0000) [1 per cell]  8 K 3.82, 4 Re 3.83
K (0.0000, 0.5000, 0.5000) [2 per cell]  4 Re 3.82, 8 K 3.82-3.83
Re (0.5000, 0.5000, 0.0000) [1 per cell]  12 K 3.82-3.83

---

2:
Below is a geometry-optimized K3Re structure, with properties calculated at the PBEsol level.

a = 3.1156 Å, b = 3.1156 Å, c = 41.4858 Å
α = 90.00°, β = 90.00°, γ = 120.00°
Last column: nearest neighbours and their distance in Å.
Space group R-3m (No. 166, hexagonal axes)
Asymmetric unit:
K (0.0000, 0.0000, 0.0000) [3 per cell]  6 K 3.12
K (0.0000, 0.0000, 0.2334) [6 per cell]  6 K 3.12, 3 Re 3.30
Re (0.0000, 0.0000, 0.5000) [3 per cell]  6 Re 3.12, 6 K 3.30

---

The most stable of them is 2.

---

1:
Below is a geometry-optimized K2ReRh structure, with properties calculated at the PBEsol level.

a = 3.1038 Å, b = 3.1038 Å, c = 10.8072 Å
α = 90.00°, β = 90.00°, γ = 90.00°
Last column: nearest neighbours and their distance in Å.
Space group P4mm (No. 99)
Asymmetric unit:
K (0.0000, 0.0000, 0.0000) [1 per cell]  4 K 3.10, 4 Rh 3.37
K (0.5000, 0.5000, 0.4043) [1 per cell]  4 K 3.10, 4 Re 3.45
Re (0.0000, 0.0000, 0.6508) [1 per cell]  4 Rh 2.51
Rh (0.5000, 0.5000, 0.7638) [1 per cell]  4 Re 2.51

---

2:
Below is a geometry-optimized K2ReRh structure, with properties calculated at the PBEsol level.

a = 2.8185 Å, b = 4.2317 Å, c = 19.8494 Å
α = 90.00°, β = 90.00°, γ = 90.00°
Last column: nearest neighbours and their distance in Å.
Space group Immm (No. 71)
Asymmetric unit:
K (0.0000, 0.0000, 0.1416) [4 per cell]  2 K 2.82, 2 Rh 3.14
Re (0.0000, 0.5000, 0.0000) [2 per cell]  4 Rh 2.54, 2 Re 2.82
Rh (0.0000, 0.5000, 0.5000) [2 per cell]  4 Re 2.54, 2 Rh 2.82

---

3:
Below is a geometry-optimized K2ReRh structure, with properties calculated at the PBEsol level.

a = 6.8329 Å, b = 6.8329 Å, c = 6.8329 Å
α = 90.00°, β = 90.00°, γ = 90.00°
Last column: nearest neighbours and their distance in Å.
Space group F-43m (No. 216)
Asymmetric unit:
K (0.0000, 0.0000, 0.0000) [4 per cell]  4 K 2.96, 4 Re 2.96
K (0.2500, 0.2500, 0.2500) [4 per cell]  4 K 2.96, 4 Rh 2.96
Re (0.2500, 0.2500, 0.7500) [4 per cell]  4 K 2.96, 4 Rh 2.96
Rh (0.0000, 0.0000, 0.5000) [4 per cell]  4 Re 2.96, 4 K 2.96

---

The most stable of them is 1.

---

1:
Below is a geometry-optimized KSc2Re structure, with properties calculated at the PBEsol level.

a = 7.6070 Å, b = 3.2006 Å, c = 9.2557 Å
α = 90.00°, β = 94.87°, γ = 90.00°
Last column: nearest neighbours and their distance in Å.
Space group C2/m (No. 12)
Asymmetric unit:
K (0.0000, 0.0000, 0.0000) [2 per cell]  2 K 3.20
Sc (0.2248, 0.0000, 0.6490) [4 per cell]  3 Re 2.60-2.64
Re (0.0000, 0.5000, 0.5000) [2 per cell]  6 Sc 2.60-2.64

---

2:
Below is a geometry-optimized KSc2Re structure, with properties calculated at the PBEsol level.

a = 3.5900 Å, b = 3.5900 Å, c = 8.3946 Å
α = 90.00°, β = 90.00°, γ = 90.00°
Last column: nearest neighbours and their distance in Å.
Space group P4mm (No. 99)
Asymmetric unit:
K (0.0000, 0.0000, 0.0000) [1 per cell]  1 Sc 3.38, 4 K 3.59, 4 Re 3.62
Sc (0.0000, 0.0000, 0.4022) [1 per cell]  4 Re 2.66
Sc (0.5000, 0.5000, 0.6116) [1 per cell]  1 Re 2.56
Re (0.5000, 0.5000, 0.3068) [1 per cell]  5 Sc 2.56-2.66

---

The most stable of them is 1.

---

1:
Below is a geometry-optimized K2ScRe structure, with properties calculated at the PBEsol level.

a = 5.8046 Å, b = 12.5829 Å, c = 2.9290 Å
α = 90.00°, β = 118.40°, γ = 90.00°
Last column: nearest neighbours and their distance in Å.
Space group C2/m (No. 12)
Asymmetric unit:
K (0.2500, 0.2500, 0.0000) [4 per cell]  6 K 2.90-2.99
Sc (0.0000, 0.0000, 0.5000) [2 per cell]  4 Re 2.90-2.99, 2 Sc 2.93
Re (0.0000, 0.5000, 0.5000) [2 per cell]  4 Sc 2.90-2.99, 2 Re 2.93

---

2:
Below is a geometry-optimized K2ScRe structure, with properties calculated at the PBEsol level.

a = 2.8399 Å, b = 5.5440 Å, c = 6.1535 Å
α = 90.00°, β = 90.00°, γ = 90.00°
Last column: nearest neighbours and their distance in Å.
Space group Pmmm (No. 47)
Asymmetric unit:
K (0.0000, 0.2418, 0.0000) [2 per cell]  4 K 2.68-2.86
Sc (0.5000, 0.5000, 0.5000) [1 per cell]  2 Re 2.77, 2 Sc 2.84
Re (0.5000, 0.0000, 0.5000) [1 per cell]  2 Sc 2.77, 2 Re 2.84

---

The most stable of them is 1.

---

1:
Below is a geometry-optimized KScRe structure, with properties calculated at the PBEsol level.

a = 3.2842 Å, b = 4.7876 Å, c = 16.8299 Å
α = 90.00°, β = 90.00°, γ = 90.00°
Last column: nearest neighbours and their distance in Å.
Space group Fmm2 (No. 42)
Asymmetric unit:
K (0.0000, 0.0000, 0.0000) [4 per cell]  4 K 2.90
Sc (0.0000, 0.0000, 0.2879) [4 per cell]  2 Re 2.61, 4 Sc 2.90
Re (0.0000, 0.0000, 0.6675) [4 per cell]  2 Sc 2.61, 4 Re 2.90

---

2:
Below is a geometry-optimized KScRe structure, with properties calculated at the PBEsol level.

a = 6.6545 Å, b = 6.6545 Å, c = 6.6545 Å
α = 90.00°, β = 90.00°, γ = 90.00°
Last column: nearest neighbours and their distance in Å.
Space group F-43m (No. 216)
Asymmetric unit:
K (0.0000, 0.0000, 0.0000) [4 per cell]  4 Sc 2.88
Sc (0.2500, 0.2500, 0.7500) [4 per cell]  4 Re 2.88, 4 K 2.88
Re (0.0000, 0.0000, 0.5000) [4 per cell]  4 Sc 2.88

---

The most stable of them is 1.

---

1:
Below is a geometry-optimized K2SrRe structure, with properties calculated at the PBEsol level.

a = 10.2067 Å, b = 2.9625 Å, c = 9.2686 Å
α = 90.00°, β = 92.46°, γ = 90.00°
Last column: nearest neighbours and their distance in Å.
Space group Cm (No. 8)
Asymmetric unit:
K (0.0000, 0.0000, 0.0000) [2 per cell]  2 K 2.96
K (0.2369, 0.0000, 0.6289) [2 per cell]  2 K 2.96
Sr (0.2636, 0.5000, 0.2647) [2 per cell]  3 Re 2.96-2.97, 2 Sr 2.96
Re (0.4976, 0.0000, 0.3791) [2 per cell]  3 Sr 2.96-2.97, 2 Re 2.96

---

2:
Below is a geometry-optimized K2SrRe structure, with properties calculated at the PBEsol level.

a = 6.5923 Å, b = 12.9645 Å, c = 3.0048 Å
α = 90.00°, β = 115.94°, γ = 90.00°
Last column: nearest neighbours and their distance in Å.
Space group C2/m (No. 12)
Asymmetric unit:
K (0.2500, 0.2500, 0.0000) [4 per cell]  6 K 3.00-3.35
Sr (0.0000, 0.0000, 0.5000) [2 per cell]  2 Sr 3.00, 4 Re 3.30-3.35
Re (0.0000, 0.5000, 0.5000) [2 per cell]  2 Re 3.00, 4 Sr 3.30-3.35

---

The most stable of them is 1.